AgAuN2 GGA-PBE optimized geometry; V = 56.10 Å³ per cell; energy relative to the elements, uncorrected = 1.40 eV per atom; E above lowest polymorph = 1.130 eV/atom
1.0
1.6255 0.9385 6.1291
-1.6255 0.9385 6.1291
0.0000 -1.8769 6.1291
Ag Au N
1 1 2
direct
0.0000 0.0000 0.0000 Ag
0.5000 0.5000 0.5000 Au
0.3908 0.3908 0.3908 N
0.6092 0.6092 0.6092 N